SrOs2Ru: optimized geometry, PBE.

```
data_SrOs2Ru
_symmetry_space_group_name_H-M 'F m -3 m'
_symmetry_Int_Tables_number 225
_symmetry_space_group_name_Hall '-F 4 2 3'
_cell_length_a 6.536
_cell_length_b 6.536
_cell_length_c 6.536
_cell_angle_alpha 90.00
_cell_angle_beta 90.00
_cell_angle_gamma 90.00
loop_
_atom_site_label
_atom_site_type_symbol
_atom_site_fract_x
_atom_site_fract_y
_atom_site_fract_z
Sr1 Sr 0.000 0.000 0.000
Os1 Os 0.250 0.250 0.250
Ru1 Ru 0.000 0.000 0.500
```

Computed properties:
**ΔH_f (0 K)**: 121.5 kJ/mol of atoms
**Offset from the most stable computed form**: 0.654 eV per atom

***

Ce2DyNi: optimized geometry, PBE.

```
data_Ce2DyNi
_symmetry_space_group_name_H-M 'R -3 m'
_symmetry_Int_Tables_number 166
_symmetry_space_group_name_Hall '-R 3 2"'
_cell_length_a 3.6172
_cell_length_b 3.6172
_cell_length_c 27.9047
_cell_angle_alpha 90.00
_cell_angle_beta 90.00
_cell_angle_gamma 120.00
loop_
_atom_site_label
_atom_site_type_symbol
_atom_site_fract_x
_atom_site_fract_y
_atom_site_fract_z
Ce1 Ce 0.0000 0.0000 0.2309
Dy1 Dy 0.0000 0.0000 0.0000
Ni1 Ni 0.0000 0.0000 0.5000
```

Computed properties:
**ΔH_f (0 K)**: -1.4 kJ/mol of atoms
**Offset from the most stable computed form**: 0.046 eV per atom

***

ZnSiS2: optimized geometry, PBE.

```
data_ZnSiS2
_symmetry_space_group_name_H-M 'R -3 m'
_symmetry_Int_Tables_number 166
_symmetry_space_group_name_Hall '-R 3 2"'
_cell_length_a 3.2721
_cell_length_b 3.2721
_cell_length_c 28.1587
_cell_angle_alpha 90.00
_cell_angle_beta 90.00
_cell_angle_gamma 120.00
loop_
_atom_site_label
_atom_site_type_symbol
_atom_site_fract_x
_atom_site_fract_y
_atom_site_fract_z
Zn1 Zn 0.0000 0.0000 0.0000
Si1 Si 0.0000 0.0000 0.5000
S1 S 0.0000 0.0000 0.1196
```

Computed properties:
**Uncorrected formation energy**: -0.908 eV/f.u.

***

Rb2SmTiS4: optimized geometry, PBE.

```
data_Rb2SmTiS4
_symmetry_space_group_name_H-M 'I -4'
_symmetry_Int_Tables_number 82
_cell_length_a 7.426
_cell_length_b 7.426
_cell_length_c 9.618
_cell_angle_alpha 90.00
_cell_angle_beta 90.00
_cell_angle_gamma 90.00
loop_
_symmetry_equiv_pos_as_xyz
'x,y,z'
'y,-x,-z'
'-x,-y,z'
'-y,x,-z'
'x+1/2,y+1/2,z+1/2'
'y+1/2,-x+1/2,-z+1/2'
'-x+1/2,-y+1/2,z+1/2'
'-y+1/2,x+1/2,-z+1/2'
loop_
_atom_site_label
_atom_site_type_symbol
_atom_site_fract_x
_atom_site_fract_y
_atom_site_fract_z
Rb1 Rb 0.000 0.000 0.000
Rb2 Rb 0.000 0.500 0.250
Sm1 Sm 0.000 0.000 0.500
Ti1 Ti 0.000 0.500 0.750
S1 S 0.160 0.267 0.637
```

Computed properties:
**Uncorrected formation energy**: -11.160 eV/f.u.

***

BaZr2Co: optimized geometry, PBE.

```
data_BaZr2Co
_symmetry_space_group_name_H-M 'I m m m'
_symmetry_Int_Tables_number 71
_symmetry_space_group_name_Hall '-I 2 2'
_cell_length_a 3.245
_cell_length_b 5.796
_cell_length_c 10.710
_cell_angle_alpha 90.00
_cell_angle_beta 90.00
_cell_angle_gamma 90.00
loop_
_atom_site_label
_atom_site_type_symbol
_atom_site_fract_x
_atom_site_fract_y
_atom_site_fract_z
Ba1 Ba 0.000 0.000 0.000
Zr1 Zr 0.000 0.500 0.185
Co1 Co 0.000 0.000 0.500
```

Computed properties:
**ΔH_f (0 K)**: 34.9 kJ/mol of atoms
**Offset from the most stable computed form**: 0.201 eV per atom

***

BaCoPb2: optimized geometry, PBE.

```
data_BaCoPb2
_symmetry_space_group_name_H-M 'A m m 2'
_symmetry_Int_Tables_number 38
_cell_length_a 4.495
_cell_length_b 4.983
_cell_length_c 12.300
_cell_angle_alpha 90.00
_cell_angle_beta 90.00
_cell_angle_gamma 90.00
loop_
_symmetry_equiv_pos_as_xyz
'x,y,z'
'-x,-y,z'
'-x,y,z'
'x,-y,z'
'x,y+1/2,z+1/2'
'-x,-y+1/2,z+1/2'
'-x,y+1/2,z+1/2'
'x,-y+1/2,z+1/2'
loop_
_atom_site_label
_atom_site_type_symbol
_atom_site_fract_x
_atom_site_fract_y
_atom_site_fract_z
Ba1 Ba 0.000 0.000 0.000
Co1 Co 0.500 0.000 0.193
Pb1 Pb 0.000 0.000 0.294
Pb2 Pb 0.500 0.000 0.667
```

Computed properties:
**ΔH_f (0 K)**: 6.1 kJ/mol of atoms

***

AlTc2Te: optimized geometry, PBE.

```
data_AlTc2Te
_symmetry_space_group_name_H-M 'I -4 m 2'
_symmetry_Int_Tables_number 119
_symmetry_space_group_name_Hall 'I -4 -2'
_cell_length_a 3.834
_cell_length_b 3.834
_cell_length_c 8.848
_cell_angle_alpha 90.00
_cell_angle_beta 90.00
_cell_angle_gamma 90.00
loop_
_atom_site_label
_atom_site_type_symbol
_atom_site_fract_x
_atom_site_fract_y
_atom_site_fract_z
Al1 Al 0.000 0.000 0.000
Tc1 Tc 0.000 0.000 0.500
Tc2 Tc 0.000 0.500 0.750
Te1 Te 0.000 0.500 0.250
```

Computed properties:
**Offset from the most stable computed form**: 0.311 eV per atom
**Uncorrected formation energy**: 1.294 eV/f.u.

***

ErSn2As2Pd7: optimized geometry, PBE.

```
data_ErSn2As2Pd7
_symmetry_space_group_name_H-M 'C 1 2/m 1'
_symmetry_Int_Tables_number 12
_cell_length_a 5.641
_cell_length_b 5.683
_cell_length_c 14.767
_cell_angle_alpha 90.00
_cell_angle_beta 94.90
_cell_angle_gamma 90.00
loop_
_symmetry_equiv_pos_as_xyz
'x,y,z'
'-x,-y,-z'
'-x,y,-z'
'x,-y,z'
'x+1/2,y+1/2,z'
'-x+1/2,-y+1/2,-z'
'-x+1/2,y+1/2,-z'
'x+1/2,-y+1/2,z'
loop_
_atom_site_label
_atom_site_type_symbol
_atom_site_fract_x
_atom_site_fract_y
_atom_site_fract_z
Er1 Er 0.000 0.000 0.000
Sn1 Sn 0.129 0.000 0.411
As1 As 0.057 0.500 0.246
Pd1 Pd 0.000 0.500 0.000
Pd2 Pd 0.114 0.500 0.414
Pd3 Pd 0.216 0.250 0.854
```

Computed properties:
**ΔH_f (0 K)**: -48.9 kJ/mol of atoms

***

ReSiPb2: optimized geometry, PBE.

```
data_ReSiPb2
_symmetry_space_group_name_H-M 'R 3 m'
_symmetry_Int_Tables_number 160
_symmetry_space_group_name_Hall 'R 3 -2"'
_cell_length_a 3.2109
_cell_length_b 3.2109
_cell_length_c 30.0967
_cell_angle_alpha 90.00
_cell_angle_beta 90.00
_cell_angle_gamma 120.00
loop_
_atom_site_label
_atom_site_type_symbol
_atom_site_fract_x
_atom_site_fract_y
_atom_site_fract_z
Re1 Re 0.0000 0.0000 0.0000
Si1 Si 0.0000 0.0000 0.2804
Pb1 Pb 0.0000 0.0000 0.5259
Pb2 Pb 0.0000 0.0000 0.7465
```

Computed properties:
**Uncorrected formation energy**: 1.637 eV/f.u.

***

La6TbDyY2: optimized geometry, PBE.

```
data_La6TbDyY2
_symmetry_space_group_name_H-M 'C 1 2/m 1'
_symmetry_Int_Tables_number 12
_cell_length_a 11.454
_cell_length_b 7.124
_cell_length_c 9.054
_cell_angle_alpha 90.00
_cell_angle_beta 104.79
_cell_angle_gamma 90.00
loop_
_symmetry_equiv_pos_as_xyz
'x,y,z'
'-x,-y,-z'
'-x,y,-z'
'x,-y,z'
'x+1/2,y+1/2,z'
'-x+1/2,-y+1/2,-z'
'-x+1/2,y+1/2,-z'
'x+1/2,-y+1/2,z'
loop_
_atom_site_label
_atom_site_type_symbol
_atom_site_fract_x
_atom_site_fract_y
_atom_site_fract_z
La1 La 0.133 0.000 0.430
La2 La 0.184 0.278 0.803
Tb1 Tb 0.000 0.500 0.500
Dy1 Dy 0.000 0.000 0.000
Y1 Y 0.086 0.500 0.168
```

Computed properties:
**ΔH_f (0 K)**: 18.7 kJ/mol of atoms

***

Ti2ZnPd2: optimized geometry, PBE.

```
data_Ti2ZnPd2
_symmetry_space_group_name_H-M 'P 4/m b m'
_symmetry_Int_Tables_number 127
_symmetry_space_group_name_Hall '-P 4 2ab'
_cell_length_a 7.270
_cell_length_b 7.270
_cell_length_c 3.086
_cell_angle_alpha 90.00
_cell_angle_beta 90.00
_cell_angle_gamma 90.00
loop_
_atom_site_label
_atom_site_type_symbol
_atom_site_fract_x
_atom_site_fract_y
_atom_site_fract_z
Ti1 Ti 0.170 0.330 0.000
Zn1 Zn 0.000 0.000 0.500
Pd1 Pd 0.132 0.632 0.500
```

Computed properties:
**ΔH_f (0 K)**: -40.8 kJ/mol of atoms
**Offset from the most stable computed form**: 0.000 eV per atom

***

CuSe2O5: optimized geometry, PBE.

```
data_CuSe2O5
_symmetry_space_group_name_H-M 'P b c n'
_symmetry_Int_Tables_number 60
_cell_length_a 6.843
_cell_length_b 10.656
_cell_length_c 6.063
_cell_angle_alpha 90.00
_cell_angle_beta 90.00
_cell_angle_gamma 90.00
loop_
_symmetry_equiv_pos_as_xyz
'x,y,z'
'-x,-y,-z'
'-x+1/2,-y+1/2,z+1/2'
'x+1/2,y+1/2,-z+1/2'
'x+1/2,-y+1/2,-z'
'-x+1/2,y+1/2,z'
'-x,y,-z+1/2'
'x,-y,z+1/2'
loop_
_atom_site_label
_atom_site_type_symbol
_atom_site_fract_x
_atom_site_fract_y
_atom_site_fract_z
Cu1 Cu 0.000 0.065 0.250
Se1 Se 0.135 0.345 0.028
O1 O 0.000 0.432 0.250
O2 O 0.152 0.066 0.541
O3 O 0.201 0.211 0.161
```

Computed properties:
**Offset from the most stable computed form**: 0.033 eV per atom
**Uncorrected formation energy**: -5.261 eV/f.u.

***

For each record above, in turn, the calculated size of the total moment values are 0.5137 0.2241 0.0000 0.1250 0.0000 0.2013 0.0004 0.0000 0.0013 0.0003 0.0000 0.1272 μB/atom.
For each record above, in turn, the calculated electronic total energy values are -7.095 -5.578 -3.965 -5.277 -6.169 -4.048 -6.580 -5.358 -5.913 -4.979 -5.912 -5.140 eV per atom.